No. 1
# Sm4PtAuSe2 | Alexandria via LeMat-Bulk | PBE | relaxed
# - Uncorrected energy: -5.7461 eV per atom
# - N(E_F): 6.38 states/eV per cell
# - ρ: 9.0 g/cm3
# - E_form (uncorrected): -31.15 kcal/mol of atoms
# - M_tot: 0.000 μB per atom
data_Sm4PtAuSe2
_space_group_name_H-M_alt 'P 1 2/m 1'
_space_group_IT_number 10
_cell_length_a 7.134
_cell_length_b 4.104
_cell_length_c 7.657
_cell_angle_alpha 90.00
_cell_angle_beta 107.91
_cell_angle_gamma 90.00
loop_
_space_group_symop_operation_xyz
'x,y,z'
'-x,-y,-z'
'-x,y,-z'
'x,-y,z'
loop_
_atom_site_label
_atom_site_fract_x
_atom_site_fract_y
_atom_site_fract_z
_atom_site_occupancy
Sm1 0.239 0.000 0.238 1
Sm2 0.244 0.500 0.756 1
Pt1 0.000 0.500 0.000 1
Au1 0.500 0.000 0.000 1
Se1 0.000 0.000 0.500 1
Se2 0.500 0.500 0.500 1



No. 2
# NbWN3 | Alexandria via LeMat-Bulk | PBE | relaxed
# - Uncorrected energy: -9.2253 eV per atom
# - N(E_F): 4.86 states/eV per cell
# - ρ: 8.9 g/cm3
# - E_form (uncorrected): 8.64 kcal/mol of atoms
# - M_tot: 0.000 μB per atom
data_NbWN3
_space_group_name_H-M_alt 'P m -3 m'
_space_group_IT_number 221
_space_group_name_Hall '-P 4 2 3'
_cell_length_a 3.897
_cell_length_b 3.897
_cell_length_c 3.897
_cell_angle_alpha 90.00
_cell_angle_beta 90.00
_cell_angle_gamma 90.00
loop_
_atom_site_label
_atom_site_fract_x
_atom_site_fract_y
_atom_site_fract_z
_atom_site_occupancy
Nb1 0.000 0.000 0.000 1
W1 0.500 0.500 0.500 1
N1 0.000 0.500 0.500 1



No. 3
# Na3Pd5F12 | Alexandria via LeMat-Bulk | PBE | relaxed
# - Uncorrected energy: -4.2122 eV per atom
# - N(E_F): 6.37 states/eV per cell
# - Distance to the lowest polymorph of the same formula: 0.000 eV/atom
# - ρ: 4.6 g/cm3
# - E_form (uncorrected): -36.74 kcal/mol of atoms
# - M_tot: 0.151 μB per atom
data_Na3Pd5F12
_space_group_name_H-M_alt 'C 1 2/m 1'
_space_group_IT_number 12
_cell_length_a 13.151
_cell_length_b 7.059
_cell_length_c 6.876
_cell_angle_alpha 90.00
_cell_angle_beta 109.12
_cell_angle_gamma 90.00
loop_
_space_group_symop_operation_xyz
'x,y,z'
'-x,-y,-z'
'-x,y,-z'
'x,-y,z'
'x+1/2,y+1/2,z'
'-x+1/2,-y+1/2,-z'
'-x+1/2,y+1/2,-z'
'x+1/2,-y+1/2,z'
loop_
_atom_site_label
_atom_site_fract_x
_atom_site_fract_y
_atom_site_fract_z
_atom_site_occupancy
Na1 0.000 0.000 0.000 1
Na2 0.000 0.259 0.500 1
Pd1 0.000 0.500 0.000 1
Pd2 0.232 0.000 0.469 1
Pd3 0.250 0.250 0.000 1
F1 0.070 0.000 0.381 1
F2 0.074 0.292 0.891 1
F3 0.109 0.500 0.463 1
F4 0.211 0.000 0.163 1
F5 0.240 0.000 0.768 1



No. 4
# TlCr2Re | Alexandria via LeMat-Bulk | PBE | relaxed
# - ΔE_f: 0.72 eV/atom
# - Uncorrected energy: -7.7945 eV per atom
# - N(E_F): 7.17 states/eV per cell
# - Distance to the lowest polymorph of the same formula: 0.249 eV/atom
# - ρ: 12.8 g/cm3
# - M_tot: 0.000 μB per atom
data_TlCr2Re
_space_group_name_H-M_alt 'C 1 2/m 1'
_space_group_IT_number 12
_cell_length_a 9.050
_cell_length_b 2.892
_cell_length_c 4.989
_cell_angle_alpha 90.00
_cell_angle_beta 99.88
_cell_angle_gamma 90.00
loop_
_space_group_symop_operation_xyz
'x,y,z'
'-x,-y,-z'
'-x,y,-z'
'x,-y,z'
'x+1/2,y+1/2,z'
'-x+1/2,-y+1/2,-z'
'-x+1/2,y+1/2,-z'
'x+1/2,-y+1/2,z'
loop_
_atom_site_label
_atom_site_fract_x
_atom_site_fract_y
_atom_site_fract_z
_atom_site_occupancy
Tl1 0.000 0.000 0.000 1
Cr1 0.241 0.000 0.671 1
Re1 0.000 0.500 0.500 1



No. 5
# Tb7PmDy4 | Alexandria via LeMat-Bulk | PBE | relaxed
# - ΔE_f: 0.27 eV/atom
# - Uncorrected energy: -4.3621 eV per atom
# - N(E_F): 39.03 states/eV per cell
# - Distance to the lowest polymorph of the same formula: 0.270 eV/atom
# - ρ: 8.0 g/cm3
# - M_tot: 0.000 μB per atom
data_Tb7PmDy4
_space_group_name_H-M_alt 'C 1 2/m 1'
_space_group_IT_number 12
_cell_length_a 12.037
_cell_length_b 5.894
_cell_length_c 12.654
_cell_angle_alpha 90.00
_cell_angle_beta 118.01
_cell_angle_gamma 90.00
loop_
_space_group_symop_operation_xyz
'x,y,z'
'-x,-y,-z'
'-x,y,-z'
'x,-y,z'
'x+1/2,y+1/2,z'
'-x+1/2,-y+1/2,-z'
'-x+1/2,y+1/2,-z'
'x+1/2,-y+1/2,z'
loop_
_atom_site_label
_atom_site_fract_x
_atom_site_fract_y
_atom_site_fract_z
_atom_site_occupancy
Tb1 0.000 0.000 0.000 1
Tb2 0.060 0.500 0.327 1
Tb3 0.133 0.000 0.502 1
Tb4 0.211 0.500 0.922 1
Pm1 0.000 0.500 0.000 1
Dy1 0.135 0.000 0.775 1
Dy2 0.248 0.500 0.682 1



No. 6
# PrSn3Pd7 | Alexandria via LeMat-Bulk | PBE | relaxed
# - ΔE_f: -0.49 eV/atom
# - Uncorrected energy: -5.3171 eV per atom
# - N(E_F): 9.60 states/eV per cell
# - ρ: 9.5 g/cm3
# - M_tot: 0.000 μB per atom
data_PrSn3Pd7
_space_group_name_H-M_alt 'C 1 2/m 1'
_space_group_IT_number 12
_cell_length_a 8.410
_cell_length_b 9.857
_cell_length_c 5.681
_cell_angle_alpha 90.00
_cell_angle_beta 112.27
_cell_angle_gamma 90.00
loop_
_space_group_symop_operation_xyz
'x,y,z'
'-x,-y,-z'
'-x,y,-z'
'x,-y,z'
'x+1/2,y+1/2,z'
'-x+1/2,-y+1/2,-z'
'-x+1/2,y+1/2,-z'
'x+1/2,-y+1/2,z'
loop_
_atom_site_label
_atom_site_fract_x
_atom_site_fract_y
_atom_site_fract_z
_atom_site_occupancy
Pr1 0.000 0.000 0.000 1
Sn1 0.000 0.270 0.500 1
Sn2 0.000 0.500 0.000 1
Pd1 0.000 0.000 0.500 1
Pd2 0.181 0.276 0.185 1
Pd3 0.183 0.500 0.538 1



Copy entry 6 word for word.
# PrSn3Pd7 | Alexandria via LeMat-Bulk | PBE | relaxed
# - ΔE_f: -0.49 eV/atom
# - Uncorrected energy: -5.3171 eV per atom
# - N(E_F): 9.60 states/eV per cell
# - ρ: 9.5 g/cm3
# - M_tot: 0.000 μB per atom
data_PrSn3Pd7
_space_group_name_H-M_alt 'C 1 2/m 1'
_space_group_IT_number 12
_cell_length_a 8.410
_cell_length_b 9.857
_cell_length_c 5.681
_cell_angle_alpha 90.00
_cell_angle_beta 112.27
_cell_angle_gamma 90.00
loop_
_space_group_symop_operation_xyz
'x,y,z'
'-x,-y,-z'
'-x,y,-z'
'x,-y,z'
'x+1/2,y+1/2,z'
'-x+1/2,-y+1/2,-z'
'-x+1/2,y+1/2,-z'
'x+1/2,-y+1/2,z'
loop_
_atom_site_label
_atom_site_fract_x
_atom_site_fract_y
_atom_site_fract_z
_atom_site_occupancy
Pr1 0.000 0.000 0.000 1
Sn1 0.000 0.270 0.500 1
Sn2 0.000 0.500 0.000 1
Pd1 0.000 0.000 0.500 1
Pd2 0.181 0.276 0.185 1
Pd3 0.183 0.500 0.538 1



What did the third record say?
# Na3Pd5F12 | Alexandria via LeMat-Bulk | PBE | relaxed
# - Uncorrected energy: -4.2122 eV per atom
# - N(E_F): 6.37 states/eV per cell
# - Distance to the lowest polymorph of the same formula: 0.000 eV/atom
# - ρ: 4.6 g/cm3
# - E_form (uncorrected): -36.74 kcal/mol of atoms
# - M_tot: 0.151 μB per atom
data_Na3Pd5F12
_space_group_name_H-M_alt 'C 1 2/m 1'
_space_group_IT_number 12
_cell_length_a 13.151
_cell_length_b 7.059
_cell_length_c 6.876
_cell_angle_alpha 90.00
_cell_angle_beta 109.12
_cell_angle_gamma 90.00
loop_
_space_group_symop_operation_xyz
'x,y,z'
'-x,-y,-z'
'-x,y,-z'
'x,-y,z'
'x+1/2,y+1/2,z'
'-x+1/2,-y+1/2,-z'
'-x+1/2,y+1/2,-z'
'x+1/2,-y+1/2,z'
loop_
_atom_site_label
_atom_site_fract_x
_atom_site_fract_y
_atom_site_fract_z
_atom_site_occupancy
Na1 0.000 0.000 0.000 1
Na2 0.000 0.259 0.500 1
Pd1 0.000 0.500 0.000 1
Pd2 0.232 0.000 0.469 1
Pd3 0.250 0.250 0.000 1
F1 0.070 0.000 0.381 1
F2 0.074 0.292 0.891 1
F3 0.109 0.500 0.463 1
F4 0.211 0.000 0.163 1
F5 0.240 0.000 0.768 1



- Which value of M_tot does entry 1 give?
  0.000 μB per atom



- What is the ρ in the fourth record?
  12.8 g/cm3